Record 1
GGA-PBE KBa2La, relaxed; space-group type = Immm (71); total DFT energy (no corrections) = -8.7 eV for the cell shown; V = 218.2 Å³ per cell; Fermi-level density of states = 6.6 states/eV/f.u.
1.0
-7.392 3.010 -1.188
-2.546 0.554 -7.637
2.426 -4.690 6.102
Ba K La
2 1 1
Direct
0.993 0.993 0.000
0.507 0.507 0.000
0.250 0.750 0.500
0.750 0.250 0.500

***

Record 2
GGA-PBE EuGdDyTm, relaxed; space-group type = F-43m (216); total DFT energy (no corrections) = -32.8 eV for the cell shown; V = 132.5 Å³ per cell; Fermi-level density of states = 7.4 states/eV/f.u.
1.0
-3.455 -4.537 -0.478
2.197 -5.284 0.024
-0.853 -3.433 4.498
Eu Dy Tm Gd
1 1 1 1
Direct
0.500 0.500 0.500
0.250 0.250 0.250
0.750 0.750 0.750
0.000 0.000 0.000

***

Record 3
GGA-PBE BeSnB2, relaxed; space-group type = Fm-3m (225); total DFT energy (no corrections) = -15.0 eV for the cell shown; V = 49.2 Å³ per cell; Fermi-level density of states = 1.9 states/eV/f.u.
1.0
0.799 0.293 4.023
0.844 3.663 1.667
-2.719 1.792 2.511
Sn Be B
1 1 2
Direct
0.500 0.500 0.500
0.000 0.000 0.000
0.750 0.750 0.750
0.250 0.250 0.250

***

Record 4
GGA-PBE Zn2AsH, relaxed; space-group type = Fm-3m (225); total DFT energy (no corrections) = -9.0 eV for the cell shown; V = 56.8 Å³ per cell; Fermi-level density of states = 1.3 states/eV/f.u.
1.0
0.000 3.051 3.051
3.051 0.000 3.051
3.051 3.051 0.000
H As Zn
1 1 2
Direct
0.000 0.000 0.000
0.500 0.500 0.500
0.750 0.750 0.750
0.250 0.250 0.250

***

Record 5
GGA-PBE NaReO2, relaxed; space-group type = I4_1/amd (141); V = 199.2 Å³ per cell; uncorrected formation energy = -0.9470 eV per atom; Fermi-level density of states = 3.0 states/eV/f.u.
1.0
-1.209 6.356 -2.814
-5.942 2.464 2.896
5.807 -2.629 3.023
O Na Re
8 4 4
Direct
0.578 0.286 0.708
0.578 0.870 0.292
0.130 0.422 0.708
0.172 0.380 0.208
0.036 0.828 0.208
0.620 0.828 0.792
0.714 0.422 0.292
0.172 0.964 0.792
0.375 0.625 0.250
0.375 0.625 0.750
0.875 0.625 0.250
0.375 0.125 0.750
0.875 0.625 0.750
0.875 0.125 0.250
0.375 0.125 0.250
0.875 0.125 0.750

***

Record 6
GGA-PBE Li2MgRe, relaxed; space-group type = Cmmm (65); total DFT energy (no corrections) = -16.4 eV for the cell shown; V = 62.6 Å³ per cell; Fermi-level density of states = 1.6 states/eV/f.u.
1.0
5.275 0.001 0.000
-2.514 4.637 0.000
0.000 0.000 2.558
Re Li Mg
1 2 1
Direct
0.000 0.500 0.500
0.500 0.500 0.000
0.000 0.000 0.000
0.500 0.000 0.500

***

Record 7
GGA-PBE Sc4GaHg3, relaxed; space-group type = R-3m (166); total DFT energy (no corrections) = -32.9 eV for the cell shown; V = 169.6 Å³ per cell; Fermi-level density of states = 8.3 states/eV/f.u.
1.0
4.731 0.000 1.397
2.160 4.210 1.397
0.052 0.032 8.535
Hg Sc Ga
3 4 1
Direct
0.248 0.248 0.255
0.500 0.500 0.500
0.752 0.752 0.745
0.878 0.878 0.367
0.373 0.373 0.882
0.122 0.122 0.633
0.627 0.627 0.118
0.000 0.000 0.000

***

Record 8
GGA-PBE TbTmBe2, relaxed; space-group type = P4/mmm (123); total DFT energy (no corrections) = -16.2 eV for the cell shown; V = 77.8 Å³ per cell; Fermi-level density of states = 3.6 states/eV/f.u.
1.0
3.406 0.000 0.000
0.000 4.780 0.000
0.000 0.000 4.780
Be Tm Tb
2 1 1
Direct
0.000 0.500 0.000
0.000 0.000 0.500
0.500 0.000 0.000
0.500 0.500 0.500